DFT (GGA+U) results for a relaxed SrLi3Cr4O12 crystal.

## Properties
Calculated total energy: -129.15 eV for the cell shown

a b c (Å): 6.364 6.364 6.364
angles (deg): 109.47 109.47 109.47
Atoms (fractional coordinates):
Sr 0.000 0.000 0.000
Li 0.000 0.500 0.500
Li 0.500 0.000 0.500
Li 0.500 0.500 0.000
Cr 0.000 0.000 0.500
Cr 0.000 0.500 0.000
Cr 0.500 0.000 0.000
Cr 0.500 0.500 0.500
O 0.111 0.811 0.299
O 0.189 0.299 0.488
O 0.189 0.701 0.889
O 0.299 0.111 0.811
O 0.299 0.488 0.189
O 0.488 0.189 0.299
O 0.512 0.811 0.701
O 0.701 0.512 0.811
O 0.701 0.889 0.189
O 0.811 0.299 0.111
O 0.811 0.701 0.512
O 0.889 0.189 0.701